MnPb4N4: optimized geometry, GGA-PBE.

Properties
Its space group is No. 2. The crystal system is triclinic. For the raw formation energy, the calculation gives 369 meV per atom.

Cell: 6.8391 6.3354 9.1596 Å, 79.01 82.58 67.57°
Closest atoms and distances in Å follow each position.
Fractional positions:
1 Pb 0.2753 0.7691 0.9710  3 N 2.36-2.53
2 N 0.9308 0.8884 0.6628  1 Mn 1.71
3 Pb 0.2933 0.5134 0.3715  2 N 2.37-2.39
4 Pb 0.7867 0.6295 0.2042  2 N 2.33-2.37
5 N 0.0692 0.1116 0.3372  1 Mn 1.71
6 N 0.4121 0.7784 0.1971  1 Mn 1.81
7 Mn 0.2544 0.0833 0.1906  4 N 1.70-1.81
8 Pb 0.7247 0.2309 0.0290  3 N 2.36-2.53
9 Pb 0.2133 0.3705 0.7958  2 N 2.33-2.37
10 N 0.8606 0.8445 0.9829  1 Mn 1.77
11 N 0.3976 0.2489 0.1984  1 Mn 1.70
12 N 0.5879 0.2216 0.8029  1 Mn 1.81
13 N 0.6024 0.7511 0.8016  1 Mn 1.70
14 Pb 0.2350 0.9829 0.5744  2 N 2.38-2.43
15 Pb 0.7067 0.4866 0.6285  2 N 2.37-2.39
16 N 0.1394 0.1555 0.0171  1 Mn 1.77
17 Pb 0.7650 0.0171 0.4256  2 N 2.38-2.43
18 Mn 0.7456 0.9167 0.8094  4 N 1.70-1.81



ErTh2Se5: optimized geometry, GGA-PBE.

Properties
Its space group is No. 62. The crystal system is orthorhombic. For the raw formation energy, the calculation gives -1762 meV per atom.

Cell: 7.8447 8.2720 12.6247 Å, 90.00 90.00 90.00°
Closest atoms and distances in Å follow each position.
Fractional positions:
1 Th 0.9859 0.5011 0.6799  8 Se 2.96-3.20
2 Th 0.0141 0.0011 0.3201  8 Se 2.96-3.20
3 Th 0.4859 0.4989 0.8201  8 Se 2.96-3.20
4 Se 0.2995 0.2500 0.2912  1 Er 2.87, 4 Th 3.02-3.06
5 Se 0.1600 0.5382 0.1022  2 Er 2.77-2.87, 2 Th 2.96-3.00
6 Se 0.3241 0.7500 0.3192  1 Er 2.97, 4 Th 3.09-3.20
7 Th 0.9859 0.9989 0.6799  8 Se 2.96-3.20
8 Se 0.1759 0.7500 0.8192  1 Er 2.97, 4 Th 3.09-3.20
9 Th 0.5141 0.9989 0.1799  8 Se 2.96-3.20
10 Se 0.8400 0.4618 0.8978  2 Er 2.77-2.87, 2 Th 2.96-3.00
11 Se 0.4628 0.2500 0.0022  1 Er 3.05, 4 Th 3.08-3.09, 1 Se 3.37
12 Se 0.5372 0.7500 0.9978  1 Er 3.05, 4 Th 3.08-3.09, 1 Se 3.37
13 Er 0.4255 0.2500 0.5043  7 Se 2.77-3.05
14 Er 0.5745 0.7500 0.4957  7 Se 2.77-3.05
15 Se 0.6600 0.0382 0.3978  2 Er 2.77-2.87, 2 Th 2.96-3.00
16 Th 0.5141 0.5011 0.1799  8 Se 2.96-3.20
17 Se 0.1600 0.9618 0.1022  2 Er 2.77-2.87, 2 Th 2.96-3.00
18 Se 0.9628 0.7500 0.4978  1 Er 3.05, 4 Th 3.08-3.09, 1 Se 3.37
19 Se 0.2005 0.2500 0.7912  1 Er 2.87, 4 Th 3.02-3.06
20 Se 0.0372 0.2500 0.5022  1 Er 3.05, 4 Th 3.08-3.09, 1 Se 3.37
21 Se 0.7005 0.7500 0.7088  1 Er 2.87, 4 Th 3.02-3.06
22 Se 0.3400 0.9618 0.6022  2 Er 2.77-2.87, 2 Th 2.96-3.00
23 Er 0.0745 0.2500 0.0043  7 Se 2.77-3.05
24 Th 0.0141 0.4989 0.3201  8 Se 2.96-3.20
25 Se 0.6759 0.2500 0.6808  1 Er 2.97, 4 Th 3.09-3.20
26 Se 0.6600 0.4618 0.3978  2 Er 2.77-2.87, 2 Th 2.96-3.00
27 Se 0.8241 0.2500 0.1808  1 Er 2.97, 4 Th 3.09-3.20
28 Se 0.7995 0.7500 0.2088  1 Er 2.87, 4 Th 3.02-3.06
29 Se 0.8400 0.0382 0.8978  2 Er 2.77-2.87, 2 Th 2.96-3.00
30 Se 0.3400 0.5382 0.6022  2 Er 2.77-2.87, 2 Th 2.96-3.00
31 Th 0.4859 0.0011 0.8201  8 Se 2.96-3.20
32 Er 0.9255 0.7500 0.9957  7 Se 2.77-3.05



Pm2Co2Ge2H: optimized geometry, GGA-PBE.

Properties
Its space group is No. 139. The crystal system is tetragonal. The calculation puts the total DFT energy (no corrections) at -5.7031 eV/atom.

Cell: 4.0002 4.0002 7.8764 Å, 104.71 104.71 90.00°
Closest atoms and distances in Å follow each position.
Fractional positions:
1 Pm 0.1617 0.1617 0.3235  1 H 2.38
2 Ge 0.5993 0.5993 0.1986  4 Co 2.48
3 Co 0.0000 0.5000 0.0000  2 H 2.00
4 H 0.0000 0.0000 0.0000  4 Co 2.00
5 Ge 0.4007 0.4007 0.8014  4 Co 2.48
6 Co 0.5000 0.0000 0.0000  2 H 2.00
7 Pm 0.8383 0.8383 0.6765  1 H 2.38



Zr2TiPb: optimized geometry, GGA-PBE.

Properties
As for the calculated formation energy: 0.031 eV per atom. Its space group is No. 160. The crystal system is trigonal.

Cell: 3.2643 3.2643 10.0373 Å, 80.64 80.64 60.00°
Closest atoms and distances in Å follow each position.
Fractional positions:
1 Zr 0.2451 0.2451 0.2648  3 Ti 2.99, 3 Pb 3.22, 6 Zr 3.26
2 Ti 0.4999 0.4999 0.5003  6 Zr 2.98-2.99, 6 Ti 3.26
3 Pb 0.6667 0.6667 0.0000  6 Zr 3.22, 6 Pb 3.26
4 Zr 0.0884 0.0884 0.7349  3 Ti 2.98, 3 Pb 3.22, 6 Zr 3.26



Rb2LiSnI6: optimized geometry, GGA-PBE.

Properties
The calculation puts the offset from the most stable computed form at 0.12 eV per formula unit. Its space group is No. 225. The crystal system is cubic. For the raw formation energy, the calculation gives -951 meV per atom.

Cell: 8.4561 8.4561 8.4573 Å, 60.00 60.00 90.00°
Closest atoms and distances in Å follow each position.
Fractional positions:
1 Rb 0.7500 0.2500 0.5000  12 I 4.23
2 I 0.7478 0.2522 0.0000  1 Li 2.96, 1 Sn 3.02
3 Sn 0.0000 0.0000 0.0000  6 I 3.02
4 I 0.2522 0.2522 0.4957  1 Li 2.96, 1 Sn 3.02
5 I 0.2522 0.2522 0.0000  1 Li 2.96, 1 Sn 3.02
6 I 0.2522 0.7478 0.0000  1 Li 2.96, 1 Sn 3.02
7 I 0.7478 0.7478 0.5043  1 Li 2.96, 1 Sn 3.02
8 I 0.7478 0.7478 0.0000  1 Li 2.96, 1 Sn 3.02
9 Rb 0.2500 0.7500 0.5000  12 I 4.23
10 Li 0.5000 0.5000 0.0000  6 I 2.96



Mg2Ga2W: optimized geometry, GGA-PBE.

Properties
As for the calculated formation energy: 0.262 eV per atom. Its space group is No. 127. The crystal system is tetragonal.

Cell: 7.2808 7.2808 3.2181 Å, 90.00 90.00 90.00°
Closest atoms and distances in Å follow each position.
Fractional positions:
1 W 0.0000 0.0000 0.0000  4 Ga 2.83, 8 Mg 3.15
2 Mg 0.8321 0.3321 0.5000  6 Ga 2.59-2.74
3 Ga 0.8650 0.6350 0.0000  6 Mg 2.59-2.74, 1 Ga 2.78, 2 W 2.83
4 Mg 0.1679 0.6679 0.5000  6 Ga 2.59-2.74
5 Mg 0.3321 0.1679 0.5000  6 Ga 2.59-2.74
6 Ga 0.1350 0.3650 0.0000  6 Mg 2.59-2.74, 1 Ga 2.78, 2 W 2.83
7 Ga 0.3650 0.8650 0.0000  6 Mg 2.59-2.74, 1 Ga 2.78, 2 W 2.83
8 W 0.5000 0.5000 0.0000  4 Ga 2.83, 8 Mg 3.15
9 Ga 0.6350 0.1350 0.0000  6 Mg 2.59-2.74, 1 Ga 2.78, 2 W 2.83
10 Mg 0.6679 0.8321 0.5000  6 Ga 2.59-2.74



CeIn3Au4: optimized geometry, GGA-PBE.

Properties
As for the calculated formation energy: -0.379 eV per atom. Its space group is No. 166. The crystal system is trigonal.

Cell: 4.6896 4.6896 9.7991 Å, 76.16 76.16 60.00°
Closest atoms and distances in Å follow each position.
Fractional positions:
1 Au 0.8755 0.8755 0.3736  6 In 2.94-2.96
2 In 0.5000 0.5000 0.5000  8 Au 2.96-3.20
3 Au 0.1245 0.1245 0.6264  6 In 2.94-2.96
4 Ce 0.0000 0.0000 0.0000  6 Au 3.10
5 Au 0.3868 0.3868 0.8397  3 In 2.84, 3 Ce 3.10
6 In 0.2492 0.2492 0.2523  6 Au 2.84-2.94
7 In 0.7508 0.7508 0.7477  6 Au 2.84-2.94
8 Au 0.6132 0.6132 0.1603  3 In 2.84, 3 Ce 3.10



CeHoInGe: optimized geometry, GGA-PBE.

Properties
As for the calculated formation energy: -0.446 eV per atom. Its space group is No. 216. The crystal system is cubic.

Cell: 5.2402 5.2402 5.2402 Å, 60.00 60.00 60.00°
Closest atoms and distances in Å follow each position.
Fractional positions:
1 Ge 0.0000 0.0000 0.0000  4 Ho 3.21, 4 Ce 3.21
2 Ho 0.2500 0.2500 0.2500  4 Ge 3.21, 4 In 3.21
3 Ce 0.7500 0.7500 0.7500  4 In 3.21, 4 Ge 3.21
4 In 0.5000 0.5000 0.5000  4 Ce 3.21, 4 Ho 3.21



LiHoAgHg: optimized geometry, GGA-PBE.

Properties
As for the calculated formation energy: -0.313 eV per atom. Its space group is No. 119. The crystal system is tetragonal.

Cell: 4.6765 4.6761 5.1177 Å, 117.19 117.19 90.00°
Closest atoms and distances in Å follow each position.
Fractional positions:
1 Hg 0.5000 0.5000 0.0000  4 Ho 3.05, 4 Li 3.05, 4 Ag 3.31
2 Li 0.2500 0.7500 0.5000  4 Ag 3.05, 4 Hg 3.05, 4 Ho 3.31
3 Ho 0.7500 0.2499 0.5000  4 Ag 3.05, 4 Hg 3.05, 4 Li 3.31
4 Ag 0.0000 0.0000 0.9999  4 Ho 3.05, 4 Li 3.05, 4 Hg 3.31



Ti2VHIr: optimized geometry, GGA-PBE.

Properties
The calculation puts the offset from the most stable computed form at 0.76 eV per formula unit. Its space group is No. 123. The crystal system is tetragonal.

Cell: 4.2219 4.2219 3.5924 Å, 90.00 90.00 90.00°
Closest atoms and distances in Å follow each position.
Fractional positions:
1 V 0.5000 0.5000 0.5000  8 Ti 2.77, 4 Ir 2.99
2 Ti 0.5000 0.0000 0.0000  2 H 2.11
3 H 0.0000 0.0000 0.0000  2 Ir 1.80
4 Ti 0.0000 0.5000 0.0000  2 H 2.11
5 Ir 0.0000 0.0000 0.5000  2 H 1.80



TmGa4Ni2Os: optimized geometry, GGA-PBE.

Properties
As for the calculated formation energy: -0.328 eV per atom. Its space group is No. 166. The crystal system is trigonal.

Cell: 4.1090 4.1090 9.0302 Å, 76.85 76.85 60.00°
Closest atoms and distances in Å follow each position.
Fractional positions:
1 Ga 0.4000 0.4000 0.8000  3 Ni 2.52, 1 Os 2.61
2 Ga 0.8708 0.8708 0.3876  4 Ni 2.50-2.74, 3 Os 2.57
3 Ni 0.2339 0.2339 0.2983  7 Ga 2.50-2.74
4 Ga 0.1292 0.1292 0.6124  4 Ni 2.50-2.74, 3 Os 2.57
5 Ga 0.6000 0.6000 0.2000  3 Ni 2.52, 1 Os 2.61
6 Os 0.5000 0.5000 0.5000  8 Ga 2.57-2.61
7 Tm 0.0000 0.0000 0.0000  6 Ga 2.94
8 Ni 0.7661 0.7661 0.7017  7 Ga 2.50-2.74



MnMoPS2: optimized geometry, GGA-PBE.

Properties
The calculation puts the offset from the most stable computed form at 0.00 eV per formula unit. Its space group is No. 123. The crystal system is tetragonal. For the raw formation energy, the calculation gives 748 meV per atom.

Cell: 4.3698 4.3698 4.3968 Å, 90.00 90.00 90.00°
Closest atoms and distances in Å follow each position.
Fractional positions:
1 Mo 0.5000 0.5000 0.5000  4 P 3.09, 8 S 3.10
2 Mn 0.0000 0.0000 0.0000  4 S 2.18, 2 P 2.20
3 S 0.0000 0.5000 0.0000  2 Mn 2.18
4 S 0.5000 0.0000 0.0000  2 Mn 2.18
5 P 0.0000 0.0000 0.5000  2 Mn 2.20